The following is a DFT calculation (GGA+U) of an optimized crystal structure of CrNO2.

Calculated values
- space group = I-42d (122)
- total DFT energy (no corrections) (eV per atom) = -6.1535
- total magnetic moment (μB/f.u.) = 1.0

abc: 5.668 5.668 5.668
angles: 121.02 121.02 88.24
Sites, in units of the cell vectors:
Cr  0.000  0.000  0.000
Cr  0.750  0.250  0.500
N  0.250  0.750  0.500
N  0.500  0.500  0.000
O  0.375  0.211  0.336
O  0.789  0.125  0.164
O  0.875  0.039  0.664
O  0.961  0.625  0.836